[1]
This record from Alexandria describes YTlP2 after structural relaxation. The functional is PBE.

Summary:
Volume: 23.43 Å³ per atom
E_form: -0.53 eV per atom
Total magnetization: 0.00 μB/f.u.
VASP energy: -21.76 eV per cell
Polymorph energy (0 for the lowest one): 0.274 eV/f.u.

a b c (Å): 4.000 4.000 5.858
angles (deg): 90.00 90.00 90.00
Space group P4/mmm (No. 123)
Asymmetric unit:
Y1 0.000 0.000 0.000 x1
Tl1 0.500 0.500 0.500 x1
P1 0.000 0.000 0.500 x1
P2 0.500 0.500 0.000 x1

***

[2]
This record from Alexandria describes YIn2Cu after structural relaxation. The functional is PBE.

Summary:
Volume: 23.01 Å³ per atom
E_form: -0.13 eV per atom
Total magnetization: 0.00 μB/f.u.
VASP energy: -33.13 eV per cell

a b c (Å): 3.624 4.950 10.262
angles (deg): 90.00 90.00 90.00
Space group Immm (No. 71)
Asymmetric unit:
Y1 0.000 0.000 0.000 x2
In1 0.000 0.500 0.215 x4
Cu1 0.000 0.000 0.500 x2

***

[3]
This record from Alexandria describes CsClF5 after structural relaxation. The functional is PBE.

Summary:
Volume: 22.22 Å³ per atom
E_form (uncorrected): -1.05 eV/atom
Total magnetization: 1.06 μB/f.u.
VASP energy: -77.69 eV per cell

a b c (Å): 6.511 10.498 9.185
angles (deg): 90.00 97.66 90.00
Space group C2/c (No. 15)
Asymmetric unit:
Cs1 0.000 0.182 0.250 x4
Cl1 0.000 0.500 0.000 x4
F1 0.000 0.264 0.750 x4
F2 0.059 0.265 0.573 x8
F3 0.193 0.455 0.148 x8